Record 1
{
  "formula": "LaCd2InH",
  "functional": "PBE",
  "state": "optimized geometry",
  "sg": "P4/mmm",
  "cell": [[4.875, 0.000, 0.000], [0.000, 4.875, 0.000], [0.000, 0.000, 4.632]],
  "species": ["La", "Cd", "Cd", "In", "H"],
  "frac_coords": [[0.000, 0.000, 0.000], [0.000, 0.500, 0.500], [0.500, 0.000, 0.500], [0.500, 0.500, 0.000], [0.000, 0.000, 0.500]]
}


Record 2
{
  "formula": "ScCdBr2",
  "functional": "PBE",
  "state": "optimized geometry",
  "sg": "P4/mmm",
  "polymorph_energy_ev_per_fu": 2.41,
  "cell": [[4.942, 0.000, 0.000], [0.000, 4.942, 0.000], [0.000, 0.000, 4.168]],
  "species": ["Sc", "Cd", "Br", "Br"],
  "frac_coords": [[0.000, 0.000, 0.000], [0.500, 0.500, 0.000], [0.000, 0.500, 0.500], [0.500, 0.000, 0.500]]
}


Record 3
{
  "formula": "Tm4Pd7Au",
  "functional": "PBE",
  "state": "optimized geometry",
  "sg": "P-1",
  "e_form_ev_per_atom": -0.82,
  "polymorph_energy_ev_per_fu": 0.00,
  "cell": [[4.644, 0.000, 0.000], [-0.007, 5.455, 0.000], [-2.311, -2.314, 9.203]],
  "species": ["Tm", "Tm", "Tm", "Tm", "Pd", "Pd", "Pd", "Pd", "Pd", "Pd", "Pd", "Au"],
  "frac_coords": [[0.108, 0.336, 0.215], [0.358, 0.166, 0.718], [0.642, 0.834, 0.282], [0.892, 0.664, 0.785], [0.050, 0.787, 0.099], [0.212, 0.063, 0.423], [0.284, 0.620, 0.568], [0.500, 0.500, 0.000], [0.716, 0.380, 0.432], [0.788, 0.937, 0.577], [0.950, 0.213, 0.901], [0.500, 0.000, 0.000]]
}


Record 4
{
  "formula": "BaMnTe2I",
  "functional": "PBE",
  "state": "optimized geometry",
  "sg": "P4/mmm",
  "cell": [[5.420, 0.000, 0.000], [0.000, 5.420, 0.000], [0.000, 0.000, 5.827]],
  "species": ["Ba", "Mn", "Te", "Te", "I"],
  "frac_coords": [[0.000, 0.000, 0.000], [0.500, 0.500, 0.500], [0.000, 0.500, 0.500], [0.500, 0.000, 0.500], [0.500, 0.500, 0.000]]
}


Record 5
{
  "formula": "BeNbSbPIr",
  "functional": "PBE",
  "state": "optimized geometry",
  "sg": "Cm",
  "polymorph_energy_ev_per_fu": 1.36,
  "cell": [[3.793, -1.717, 0.000], [3.793, 1.717, 0.000], [-1.955, 0.000, 6.502]],
  "species": ["Be", "Nb", "Sb", "P", "Ir"],
  "frac_coords": [[0.000, 0.000, 0.000], [0.932, 0.932, 0.458], [0.709, 0.709, 0.726], [0.636, 0.636, 0.202], [0.317, 0.317, 0.085]]
}


Record 6
{
  "formula": "Ce12Th7Zr",
  "functional": "PBE",
  "state": "optimized geometry",
  "sg": "Im-3",
  "e_form_ev_per_atom": 0.87,
  "cell": [[-5.510, 5.510, 5.510], [5.510, -5.510, 5.510], [5.510, 5.510, -5.510]],
  "species": ["Ce", "Ce", "Ce", "Ce", "Ce", "Ce", "Ce", "Ce", "Ce", "Ce", "Ce", "Ce", "Th", "Th", "Th", "Th", "Th", "Th", "Th", "Zr"],
  "frac_coords": [[0.093, 0.269, 0.824], [0.176, 0.445, 0.269], [0.176, 0.907, 0.731], [0.269, 0.176, 0.445], [0.269, 0.824, 0.093], [0.445, 0.269, 0.176], [0.555, 0.731, 0.824], [0.731, 0.176, 0.907], [0.731, 0.824, 0.555], [0.824, 0.093, 0.269], [0.824, 0.555, 0.731], [0.907, 0.731, 0.176], [0.000, 0.000, 0.500], [0.000, 0.500, 0.000], [0.000, 0.500, 0.500], [0.500, 0.000, 0.000], [0.500, 0.000, 0.500], [0.500, 0.500, 0.000], [0.500, 0.500, 0.500], [0.000, 0.000, 0.000]]
}


Record 7
{
  "formula": "FeNi2Rh",
  "functional": "PBE",
  "state": "optimized geometry",
  "sg": "P4mm",
  "e_form_ev_per_atom": 0.01,
  "cell": [[2.607, 0.000, 0.000], [0.000, 2.607, 0.000], [0.000, 0.000, 7.153]],
  "species": ["Fe", "Ni", "Ni", "Rh"],
  "frac_coords": [[0.000, 0.000, 0.000], [0.000, 0.000, 0.475], [0.500, 0.500, 0.238], [0.500, 0.500, 0.733]]
}


Record 8
{
  "formula": "YHo5Er2Th",
  "functional": "PBE",
  "state": "optimized geometry",
  "sg": "Cmc2_1",
  "e_form_ev_per_atom": 0.17,
  "cell": [[2.833, -10.690, 0.000], [2.833, 10.690, 0.000], [0.000, 0.000, 9.656]],
  "species": ["Y", "Y", "Ho", "Ho", "Ho", "Ho", "Ho", "Ho", "Ho", "Ho", "Ho", "Ho", "Er", "Er", "Er", "Er", "Th", "Th"],
  "frac_coords": [[0.190, 0.810, 0.500], [0.810, 0.190, 0.000], [0.014, 0.986, 0.501], [0.271, 0.729, 0.806], [0.305, 0.695, 0.201], [0.398, 0.602, 0.524], [0.469, 0.531, 0.224], [0.531, 0.469, 0.724], [0.602, 0.398, 0.024], [0.695, 0.305, 0.701], [0.729, 0.271, 0.306], [0.986, 0.014, 0.001], [0.115, 0.885, 0.812], [0.130, 0.870, 0.193], [0.870, 0.130, 0.693], [0.885, 0.115, 0.312], [0.405, 0.595, 0.904], [0.595, 0.405, 0.404]]
}


Record 9
{
  "formula": "YGaHg2Os",
  "functional": "PBE",
  "state": "optimized geometry",
  "sg": "P4/mmm",
  "e_form_ev_per_atom": 0.44,
  "cell": [[5.286, 0.000, 0.000], [0.000, 5.286, 0.000], [0.000, 0.000, 5.190]],
  "species": ["Y", "Ga", "Hg", "Hg", "Os"],
  "frac_coords": [[0.000, 0.000, 0.000], [0.500, 0.500, 0.000], [0.000, 0.500, 0.500], [0.500, 0.000, 0.500], [0.000, 0.000, 0.500]]
}


Record 10
{
  "formula": "ThNiHgPd",
  "functional": "PBE",
  "state": "optimized geometry",
  "sg": "F-43m",
  "e_form_ev_per_atom": -0.40,
  "cell": [[0.000, 3.426, 3.426], [3.426, 0.000, 3.426], [3.426, 3.426, 0.000]],
  "species": ["Th", "Ni", "Hg", "Pd"],
  "frac_coords": [[0.000, 0.000, 0.000], [0.750, 0.750, 0.750], [0.500, 0.500, 0.500], [0.250, 0.250, 0.250]]
}


Record 11
{
  "formula": "Li5Pd2Au4",
  "functional": "PBE",
  "state": "optimized geometry",
  "sg": "P2/m",
  "e_form_ev_per_atom": -0.41,
  "cell": [[7.290, 0.000, 0.000], [0.000, 2.820, 0.000], [-0.144, 0.000, 8.808]],
  "species": ["Li", "Li", "Li", "Li", "Li", "Pd", "Pd", "Au", "Au", "Au", "Au"],
  "frac_coords": [[0.000, 0.000, 0.000], [0.075, 0.000, 0.342], [0.353, 0.000, 0.855], [0.647, 0.000, 0.145], [0.925, 0.000, 0.658], [0.424, 0.000, 0.362], [0.576, 0.000, 0.638], [0.227, 0.500, 0.599], [0.286, 0.500, 0.112], [0.714, 0.500, 0.888], [0.773, 0.500, 0.401]]
}


Record 12
{
  "formula": "HoZrBi2",
  "functional": "PBE",
  "state": "optimized geometry",
  "sg": "R3m",
  "e_form_ev_per_atom": -0.48,
  "polymorph_energy_ev_per_fu": 0.09,
  "cell": [[2.124, 1.226, 7.516], [-2.124, 1.226, 7.516], [0.000, -2.452, 7.516]],
  "species": ["Ho", "Zr", "Bi", "Bi"],
  "frac_coords": [[0.000, 0.000, 0.000], [0.171, 0.171, 0.171], [0.422, 0.422, 0.422], [0.583, 0.583, 0.583]]
}


no.,electronic total energy (eV/atom)
1,-2.838
2,-3.054
3,-5.614
4,-4.554
5,-6.560
6,-5.714
7,-6.834
8,-4.935
9,-3.827
10,-5.074
11,-3.417
12,-5.701